Entry 1:
DFT (PBE) results for an optimized crystal structure of SmSc5Au6.

Unit cell a=4.880 b=6.884 c=7.752 alpha=90.00 beta=108.12 gamma=90.00
Atoms (fractional coordinates):
Sm  0.000  0.000  0.000
Sc  0.000  0.500  0.000
Sc  0.332  0.000  0.662
Sc  0.337  0.500  0.671
Sc  0.663  0.500  0.329
Sc  0.668  0.000  0.338
Au  0.172  0.258  0.349
Au  0.172  0.742  0.349
Au  0.500  0.269  0.000
Au  0.500  0.731  0.000
Au  0.828  0.258  0.651
Au  0.828  0.742  0.651

E_form	-0.7847	eV/atom
M_tot	0.00	μB per formula unit
D(E_F)	0.61	states/eV per atom



Entry 2:
DFT (PBE) results for an optimized crystal structure of Tl2SnPbS4.

Unit cell a=8.451 b=8.451 c=8.451 alpha=122.60 beta=117.49 gamma=89.98
Atoms (fractional coordinates):
Tl  0.000  0.000  0.000
Tl  0.500  0.000  0.000
Tl  0.500  0.000  0.500
Tl  0.500  0.500  0.500
Sn  0.000  0.000  0.500
Sn  0.000  0.500  0.000
Pb  0.000  0.500  0.500
Pb  0.500  0.500  0.000
S  0.204  0.746  0.458
S  0.212  0.254  0.958
S  0.219  0.229  0.510
S  0.219  0.709  0.990
S  0.781  0.291  0.010
S  0.781  0.771  0.490
S  0.788  0.746  0.042
S  0.796  0.254  0.542

E_form (uncorrected)	-2.8	eV/f.u.
M_tot	0.00	μB per formula unit
D(E_F)	0.36	states/eV per atom



Entry 3:
DFT (PBE) results for an optimized crystal structure of KTeO.

Unit cell a=5.007 b=5.007 c=9.475 alpha=107.79 beta=107.79 gamma=48.96
Atoms (fractional coordinates):
K  0.101  0.101  0.364
K  0.899  0.899  0.636
Te  0.282  0.282  0.887
Te  0.718  0.718  0.113
O  0.214  0.214  0.664
O  0.786  0.786  0.336

E_form (uncorrected)	-2.8	eV/f.u.
M_tot	0.00	μB per formula unit
D(E_F)	0.17	states/eV per atom



Entry 4:
DFT (PBE) results for an optimized crystal structure of CsScZn2F8.

Unit cell a=8.941 b=8.941 c=8.941 alpha=35.67 beta=35.67 gamma=35.67
Atoms (fractional coordinates):
Cs  0.000  0.000  0.000
Sc  0.500  0.500  0.500
Zn  0.242  0.242  0.242
Zn  0.758  0.758  0.758
F  0.138  0.478  0.743
F  0.257  0.862  0.522
F  0.317  0.317  0.317
F  0.478  0.743  0.138
F  0.522  0.257  0.862
F  0.683  0.683  0.683
F  0.743  0.138  0.478
F  0.862  0.522  0.257

E_form (uncorrected)	-34.9	eV/f.u.
M_tot	0.09	μB per formula unit
D(E_F)	0.00	states/eV per atom



Entry 5:
DFT (PBE) results for an optimized crystal structure of Sm2Dy4Y2Er.

Unit cell a=9.505 b=9.505 c=9.556 alpha=115.23 beta=115.23 gamma=21.81
Atoms (fractional coordinates):
Sm  0.166  0.166  0.000
Sm  0.834  0.834  0.000
Dy  0.019  0.019  0.333
Dy  0.315  0.315  0.665
Dy  0.685  0.685  0.335
Dy  0.981  0.981  0.667
Y  0.353  0.353  0.336
Y  0.647  0.647  0.664
Er  0.500  0.500  0.000

E_form	-0.0013	eV/atom
M_tot	0.00	μB per formula unit
D(E_F)	1.34	states/eV per atom



Entry 6:
DFT (PBE) results for an optimized crystal structure of TaMn2Br.

Unit cell a=8.175 b=8.175 c=8.175 alpha=22.81 beta=22.81 gamma=22.81
Atoms (fractional coordinates):
Ta  0.000  0.000  0.000
Mn  0.254  0.254  0.254
Mn  0.746  0.746  0.746
Br  0.500  0.500  0.500

E_form (uncorrected)	1.1	eV/f.u.
relative energy among the computed polymorphs	0.27	eV per formula unit
M_tot	5.89	μB per formula unit
D(E_F)	0.41	states/eV per atom